No. 1
Material: CeSm10Y4
Method: DFT, PBE
State: optimized geometry

```
CeSm10Y4
1.0
-4.894 4.894 5.334
4.894 -4.894 5.334
4.894 4.894 -5.334
Ce Sm Y
1 10 4
direct
0.000 0.000 0.000
0.130 0.458 0.903
0.228 0.130 0.672
0.250 0.750 0.500
0.444 0.772 0.903
0.458 0.556 0.328
0.542 0.444 0.672
0.556 0.228 0.097
0.750 0.250 0.500
0.772 0.870 0.328
0.870 0.542 0.097
0.061 0.331 0.392
0.331 0.939 0.270
0.669 0.061 0.730
0.939 0.669 0.608
```

As for the total moment: 0.08 μB/atom. For the final energy, the calculation gives -4.934 eV/atom. Its space group is I4/m.

---

No. 2
Material: SiOs2Pb
Method: DFT, PBE
State: optimized geometry

```
SiOs2Pb
1.0
3.085 0.000 0.000
0.000 4.264 0.000
0.000 0.000 5.182
Si Os Pb
1 2 1
direct
0.000 0.000 0.000
0.000 0.500 0.500
0.500 0.500 0.000
0.500 0.000 0.500
```

The value obtained for the energy relative to the lowest polymorph listed for this composition is 0.6049 eV/atom. For the uncorrected formation energy, the calculation gives 0.96 eV/atom. As for the total moment: 0.00 μB/atom. For the final energy, the calculation gives -6.937 eV/atom. Its space group is Pmmm.

---

No. 3
Material: Zr2Ga4Cu3
Method: DFT, PBE
State: optimized geometry

```
Zr2Ga4Cu3
1.0
2.707 -7.247 0.000
2.707 7.247 0.000
0.000 0.000 7.273
Zr Ga Cu
4 8 6
direct
0.102 0.898 0.898
0.398 0.602 0.398
0.602 0.398 0.602
0.898 0.102 0.102
0.177 0.823 0.521
0.188 0.312 0.750
0.312 0.188 0.250
0.323 0.677 0.021
0.677 0.323 0.979
0.688 0.812 0.750
0.812 0.688 0.250
0.823 0.177 0.479
0.000 0.000 0.500
0.016 0.484 0.750
0.484 0.016 0.250
0.500 0.500 0.000
0.516 0.984 0.750
0.984 0.516 0.250
```

As for the total moment: 0.00 μB/atom. For the final energy, the calculation gives -5.003 eV/atom. Its space group is Cmce.

---

No. 4
Material: BeGa2BiSe
Method: DFT, PBE
State: optimized geometry

```
BeGa2BiSe
1.0
5.663 0.000 0.000
0.000 5.663 0.000
0.000 0.000 5.581
Be Ga Bi Se
1 2 1 1
direct
0.000 0.000 0.000
0.000 0.500 0.500
0.500 0.000 0.500
0.500 0.500 0.500
0.500 0.500 0.000
```

For the uncorrected formation energy, the calculation gives 1.00 eV/atom. As for the total moment: 0.00 μB/atom. For the final energy, the calculation gives -2.433 eV/atom. Its space group is P4/mmm.